No. 1
Computed, not measured: a relaxed Pm3Pr4HoS8 crystal at the PBE level of DFT.

Results
- space-group type = R-3m
- total moment (μB per formula unit) = 0.0
- formation energy without anion corrections (eV per atom) = -2.016

Cell: 8.1272 8.1272 8.1272 Å, 59.66 59.66 59.66°
Sites, in units of the cell vectors:
Pm 0.0000 0.5000 0.5000
Pm 0.5000 0.0000 0.5000
Pm 0.5000 0.5000 0.0000
Pr 0.0000 0.0000 0.5000
Pr 0.0000 0.5000 0.0000
Pr 0.5000 0.0000 0.0000
Pr 0.5000 0.5000 0.5000
Ho 0.0000 0.0000 0.0000
S 0.2422 0.2422 0.7533
S 0.2422 0.7533 0.2422
S 0.2467 0.7578 0.7578
S 0.2523 0.2523 0.2523
S 0.7477 0.7477 0.7477
S 0.7533 0.2422 0.2422
S 0.7578 0.2467 0.7578
S 0.7578 0.7578 0.2467

=====

No. 2
Computed, not measured: a relaxed LiPm12Tl3 crystal at the PBE level of DFT.

Results
- calculated formation energy (eV/atom) = -0.109
- space-group type = P4/mmm
- total moment (μB per formula unit) = 0.0

Cell: 4.9665 4.9665 19.8887 Å, 90.00 90.00 90.00°
Sites, in units of the cell vectors:
Li 0.0000 0.0000 0.0000
Pm 0.0000 0.5000 0.1263
Pm 0.0000 0.5000 0.3747
Pm 0.0000 0.5000 0.6253
Pm 0.0000 0.5000 0.8737
Pm 0.5000 0.0000 0.1263
Pm 0.5000 0.0000 0.3747
Pm 0.5000 0.0000 0.6253
Pm 0.5000 0.0000 0.8737
Pm 0.5000 0.5000 0.0000
Pm 0.5000 0.5000 0.2483
Pm 0.5000 0.5000 0.5000
Pm 0.5000 0.5000 0.7517
Tl 0.0000 0.0000 0.2509
Tl 0.0000 0.0000 0.5000
Tl 0.0000 0.0000 0.7491

=====

No. 3
Computed, not measured: a relaxed TiOs3Pt crystal at the PBE level of DFT.

Results
- calculated formation energy (eV/atom) = 1.852
- space-group type = Pm-3m
- total moment (μB per formula unit) = 1.0

Cell: 4.4840 4.4840 4.4840 Å, 90.00 90.00 90.00°
Sites, in units of the cell vectors:
Ti 0.0000 0.0000 0.0000
Os 0.0000 0.0000 0.5000
Os 0.0000 0.5000 0.0000
Os 0.5000 0.0000 0.0000
Pt 0.5000 0.5000 0.5000

=====

No. 4
Computed, not measured: a relaxed VZnH crystal at the PBE level of DFT.

Results
- energy (eV/cell) = -27.67
- space-group type = P2_1
- total moment (μB per formula unit) = 0.0

Cell: 2.7193 4.4469 5.1660 Å, 90.00 99.23 90.00°
Sites, in units of the cell vectors:
V 0.1109 0.0000 0.3671
V 0.8891 0.5000 0.6329
Zn 0.4805 0.9513 0.8833
Zn 0.5195 0.4513 0.1167
H 0.3733 0.2474 0.6132
H 0.6267 0.7474 0.3868

=====

No. 5
Computed, not measured: a relaxed Mn2TlIr crystal at the PBE level of DFT.

Results
- calculated formation energy (eV/atom) = 0.515
- space-group type = C2/m
- total moment (μB per formula unit) = 3.4

Cell: 4.7051 4.7051 4.9211 Å, 100.66 100.66 35.63°
Sites, in units of the cell vectors:
Mn 0.2417 0.2417 0.1877
Mn 0.7583 0.7583 0.8123
Tl 0.0000 0.0000 0.5000
Ir 0.5000 0.5000 0.0000

=====

No. 6
Computed, not measured: a relaxed PaFe6C3 crystal at the PBE level of DFT.

Results
- calculated formation energy (eV/atom) = 0.095
- space-group type = R3
- total moment (μB per formula unit) = 5.1

Cell: 5.5307 5.5307 5.5307 Å, 54.60 54.60 54.60°
Sites, in units of the cell vectors:
Pa 0.0000 0.0000 0.0000
Fe 0.1303 0.5638 0.6886
Fe 0.4333 0.9411 0.4448
Fe 0.4448 0.4333 0.9411
Fe 0.5638 0.6886 0.1303
Fe 0.6886 0.1303 0.5638
Fe 0.9411 0.4448 0.4333
C 0.1749 0.1749 0.1749
C 0.3693 0.3693 0.3693
C 0.7038 0.7038 0.7038

=====

No. 7
Computed, not measured: a relaxed TaFe2Pt8 crystal at the PBE level of DFT.

Results
- calculated formation energy (eV/atom) = -0.385
- space-group type = C2/m
- total moment (μB per formula unit) = 7.2

Cell: 7.3450 7.3450 6.2805 Å, 106.36 106.36 31.29°
Sites, in units of the cell vectors:
Ta 0.0000 0.0000 0.0000
Fe 0.2781 0.2781 0.3586
Fe 0.7219 0.7219 0.6414
Pt 0.1019 0.1019 0.4522
Pt 0.1821 0.1821 0.9170
Pt 0.3608 0.3608 0.8115
Pt 0.4554 0.4554 0.2721
Pt 0.5446 0.5446 0.7279
Pt 0.6392 0.6392 0.1885
Pt 0.8179 0.8179 0.0830
Pt 0.8981 0.8981 0.5478

=====

No. 8
Computed, not measured: a relaxed K2PN crystal at the PBE level of DFT.

Results
- space-group type = I-42d
- total moment (μB per formula unit) = 0.5
- formation energy without anion corrections (eV per atom) = 0.113

Cell: 8.3679 8.3679 8.3679 Å, 92.66 92.66 155.10°
Sites, in units of the cell vectors:
K 0.3750 0.1402 0.2652
K 0.8598 0.1250 0.2348
K 0.8750 0.1098 0.7348
K 0.8902 0.6250 0.7652
P 0.2500 0.7500 0.5000
P 0.5000 0.5000 0.0000
N 0.0000 0.0000 0.0000
N 0.7500 0.2500 0.5000

=====

No. 9
Computed, not measured: a relaxed ScFeSnRu2 crystal at the PBE level of DFT.

Results
- calculated formation energy (eV/atom) = 1.170
- space-group type = P4/mmm
- total moment (μB per formula unit) = 3.0

Cell: 4.6693 4.6693 4.4037 Å, 90.00 90.00 90.00°
Sites, in units of the cell vectors:
Sc 0.0000 0.0000 0.0000
Fe 0.0000 0.0000 0.5000
Sn 0.5000 0.5000 0.5000
Ru 0.0000 0.5000 0.0000
Ru 0.5000 0.0000 0.0000

=====

No. 10
Computed, not measured: a relaxed Zr4N3 crystal at the PBE level of DFT.

Results
- space-group type = C2/m
- total moment (μB per formula unit) = 0.0
- formation energy without anion corrections (eV per atom) = -1.454

Cell: 6.2677 6.2677 5.6609 Å, 116.51 116.51 30.04°
Sites, in units of the cell vectors:
Zr 0.1277 0.1277 0.4533
Zr 0.3718 0.3718 0.0289
Zr 0.6282 0.6282 0.9711
Zr 0.8723 0.8723 0.5467
N 0.0000 0.0000 0.0000
N 0.2603 0.2603 0.2595
N 0.7397 0.7397 0.7405

=====

No. 11
Computed, not measured: a relaxed Pm6Sm3Dy2Y crystal at the PBE level of DFT.

Results
- calculated formation energy (eV/atom) = 0.013
- space-group type = C2/m
- total moment (μB per formula unit) = 0.0

Cell: 6.2813 6.2813 11.9717 Å, 95.01 95.01 120.00°
Sites, in units of the cell vectors:
Pm 0.0828 0.4169 0.7523
Pm 0.2491 0.2491 0.2479
Pm 0.4169 0.0828 0.7523
Pm 0.5831 0.9172 0.2477
Pm 0.7509 0.7509 0.7521
Pm 0.9172 0.5831 0.2477
Sm 0.0000 0.0000 0.5000
Sm 0.3333 0.6667 0.5000
Sm 0.6667 0.3333 0.5000
Dy 0.1666 0.8334 0.0000
Dy 0.8334 0.1666 0.0000
Y 0.5000 0.5000 0.0000

=====

No. 12
Computed, not measured: a relaxed Ho3MgN crystal at the PBE level of DFT.

Results
- space-group type = Pm-3m
- total moment (μB per formula unit) = 0.0
- formation energy without anion corrections (eV per atom) = -0.716

Cell: 4.8425 4.8425 4.8425 Å, 90.00 90.00 90.00°
Sites, in units of the cell vectors:
Ho 0.0000 0.0000 0.5000
Ho 0.0000 0.5000 0.0000
Ho 0.5000 0.0000 0.0000
Mg 0.5000 0.5000 0.5000
N 0.0000 0.0000 0.0000

=====

No. 13
Computed, not measured: a relaxed MgS2N2 crystal at the PBE level of DFT.

Results
- space-group type = P4/mmm
- total moment (μB per formula unit) = 4.8
- formation energy without anion corrections (eV per atom) = 1.619

Cell: 3.9829 3.9829 5.5896 Å, 90.00 90.00 90.00°
Sites, in units of the cell vectors:
Mg 0.0000 0.0000 0.0000
S 0.0000 0.0000 0.5000
S 0.5000 0.5000 0.5000
N 0.0000 0.5000 0.0000
N 0.5000 0.0000 0.0000

=====

No. 14
Computed, not measured: a relaxed LiAc2Cd3Ag4 crystal at the PBE level of DFT.

Results
- calculated formation energy (eV/atom) = -0.216
- space-group type = P-4m2
- total moment (μB per formula unit) = 0.0

Cell: 4.4205 4.4205 12.9089 Å, 90.00 90.00 90.00°
Sites, in units of the cell vectors:
Li 0.0000 0.0000 0.0000
Ac 0.0000 0.5000 0.7510
Ac 0.5000 0.0000 0.2490
Cd 0.0000 0.5000 0.3632
Cd 0.5000 0.0000 0.6368
Cd 0.5000 0.5000 0.0000
Ag 0.0000 0.0000 0.5000
Ag 0.0000 0.5000 0.1419
Ag 0.5000 0.0000 0.8581
Ag 0.5000 0.5000 0.5000

=====

No. 15
Computed, not measured: a relaxed CdTeP2O8 crystal at the PBE level of DFT.

Results
- space-group type = R32
- total moment (μB per formula unit) = 0.0
- formation energy without anion corrections (eV per atom) = -1.564

Cell: 8.0348 8.0348 8.0348 Å, 34.72 34.72 34.72°
Sites, in units of the cell vectors:
Cd 0.0000 0.0000 0.0000
Te 0.5000 0.5000 0.5000
P 0.2527 0.2527 0.2527
P 0.7473 0.7473 0.7473
O 0.0776 0.4637 0.7703
O 0.2297 0.5363 0.9224
O 0.3204 0.3204 0.3204
O 0.4637 0.7703 0.0776
O 0.5363 0.9224 0.2297
O 0.6796 0.6796 0.6796
O 0.7703 0.0776 0.4637
O 0.9224 0.2297 0.5363

=====

No. 16
Computed, not measured: a relaxed Ba4LiTl crystal at the PBE level of DFT.

Results
- calculated formation energy (eV/atom) = -0.042
- space-group type = Cm
- total moment (μB per formula unit) = 0.0

Cell: 6.0203 6.0203 8.7370 Å, 90.04 90.04 90.00°
Sites, in units of the cell vectors:
Ba 0.2496 0.7504 0.0000
Ba 0.2505 0.7506 0.4666
Ba 0.7504 0.2496 0.0000
Ba 0.7506 0.2505 0.4666
Li 0.2503 0.2503 0.7330
Tl 0.7503 0.7503 0.2334

=====

No. 17
Computed, not measured: a relaxed Cs3NaRe crystal at the PBE level of DFT.

Results
- calculated formation energy (eV/atom) = 1.352
- space-group type = Pm-3m
- total moment (μB per formula unit) = 0.0

Cell: 6.4063 6.4063 6.4063 Å, 90.00 90.00 90.00°
Sites, in units of the cell vectors:
Cs 0.0000 0.0000 0.5000
Cs 0.0000 0.5000 0.0000
Cs 0.5000 0.0000 0.0000
Na 0.5000 0.5000 0.5000
Re 0.0000 0.0000 0.0000

=====

No. 18
Computed, not measured: a relaxed Li5BiO6 crystal at the PBE level of DFT.

Results
- space-group type = C2/m
- total moment (μB per formula unit) = 2.1
- formation energy without anion corrections (eV per atom) = -1.373

Cell: 5.4265 5.4265 5.2273 Å, 98.81 98.81 122.81°
Sites, in units of the cell vectors:
Li 0.0000 0.0000 0.0000
Li 0.1780 0.8220 0.5000
Li 0.2925 0.7075 0.0000
Li 0.7075 0.2925 0.0000
Li 0.8220 0.1780 0.5000
Bi 0.5000 0.5000 0.5000
O 0.1160 0.4371 0.2433
O 0.1969 0.1969 0.7037
O 0.4371 0.1160 0.2433
O 0.5629 0.8840 0.7567
O 0.8031 0.8031 0.2963
O 0.8840 0.5629 0.7567

=====

No. 19
Computed, not measured: a relaxed Pm2YEr crystal at the PBE level of DFT.

Results
- calculated formation energy (eV/atom) = 0.016
- space-group type = R3m
- total moment (μB per formula unit) = 0.0

Cell: 11.8199 11.8199 11.8199 Å, 17.59 17.59 17.59°
Sites, in units of the cell vectors:
Pm 0.0000 0.0000 0.0000
Pm 0.1674 0.1674 0.1674
Y 0.7503 0.7503 0.7503
Er 0.5833 0.5833 0.5833

=====

No. 20
Computed, not measured: a relaxed Rb4Pm3SbSe8 crystal at the PBE level of DFT.

Results
- space-group type = R-3m
- total moment (μB per formula unit) = 0.0
- formation energy without anion corrections (eV per atom) = -1.472

Cell: 9.4361 9.4361 9.4361 Å, 54.75 54.75 54.75°
Sites, in units of the cell vectors:
Rb 0.0000 0.0000 0.0000
Rb 0.0000 0.5000 0.5000
Rb 0.5000 0.0000 0.5000
Rb 0.5000 0.5000 0.0000
Pm 0.0000 0.0000 0.5000
Pm 0.0000 0.5000 0.0000
Pm 0.5000 0.0000 0.0000
Sb 0.5000 0.5000 0.5000
Se 0.2335 0.2335 0.2335
Se 0.2366 0.7307 0.7307
Se 0.2693 0.2693 0.7634
Se 0.2693 0.7634 0.2693
Se 0.7307 0.2366 0.7307
Se 0.7307 0.7307 0.2366
Se 0.7634 0.2693 0.2693
Se 0.7665 0.7665 0.7665

=====

No. 21
Computed, not measured: a relaxed InIrBr2 crystal at the PBE level of DFT.

Results
- space-group type = C2/m
- total moment (μB per formula unit) = 0.0
- formation energy without anion corrections (eV per atom) = 0.603

Cell: 5.6950 5.6950 3.5341 Å, 108.04 108.04 112.47°
Sites, in units of the cell vectors:
In 0.0000 0.0000 0.0000
Ir 0.5000 0.5000 0.0000
Br 0.0000 0.5000 0.5000
Br 0.5000 0.0000 0.5000

=====

No. 22
Computed, not measured: a relaxed CaFeCl crystal at the PBE level of DFT.

Results
- space-group type = P3m1
- total moment (μB per formula unit) = 3.0
- formation energy without anion corrections (eV per atom) = -0.238

Cell: 3.5996 3.5996 6.1546 Å, 90.00 90.00 120.00°
Sites, in units of the cell vectors:
Ca 0.0000 0.0000 0.0000
Fe 0.3333 0.6667 0.6424
Cl 0.6667 0.3333 0.3089

=====

No. 23
Computed, not measured: a relaxed RbIn2I2Br crystal at the PBE level of DFT.

Results
- space-group type = P2_1/m
- total moment (μB per formula unit) = 0.0
- formation energy without anion corrections (eV per atom) = -0.816

Cell: 7.2300 7.8106 10.3811 Å, 90.00 95.91 90.00°
Sites, in units of the cell vectors:
Rb 0.2404 0.2500 0.0627
Rb 0.7596 0.7500 0.9373
In 0.1884 0.5377 0.6018
In 0.1884 0.9623 0.6018
In 0.8116 0.0377 0.3982
In 0.8116 0.4623 0.3982
I 0.2562 0.7500 0.8962
I 0.3822 0.2500 0.4222
I 0.6178 0.7500 0.5778
I 0.7438 0.2500 0.1038
Br 0.0512 0.2500 0.7511
Br 0.9488 0.7500 0.2489

=====

No. 24
Computed, not measured: a relaxed CePrEuSn crystal at the PBE level of DFT.

Results
- calculated formation energy (eV/atom) = -0.212
- space-group type = F-43m
- total moment (μB per formula unit) = 6.3

Cell: 5.5769 5.5769 5.5769 Å, 60.00 60.00 60.00°
Sites, in units of the cell vectors:
Ce 0.0000 0.0000 0.0000
Pr 0.5000 0.5000 0.5000
Eu 0.2500 0.2500 0.2500
Sn 0.7500 0.7500 0.7500